Tb6InCu2 | the Alexandria database | PBE | relaxed; E_tot = -40.7 eV/f.u.; DFT formation energy = -0.22 eV per atom
1.0
8.083 -0.084 -2.843
-4.370 6.967 -2.406
0.011 0.084 8.568
Tb In Cu
12 2 4
Direct
0.532 0.717 0.815
0.802 0.762 0.564
0.902 0.717 0.185
0.695 0.016 0.322
0.305 0.984 0.678
0.695 0.373 0.678
0.198 0.238 0.436
0.098 0.283 0.815
0.198 0.762 0.960
0.802 0.238 0.040
0.305 0.627 0.322
0.468 0.283 0.185
0.000 0.500 0.500
0.000 0.000 0.000
0.347 0.000 0.347
0.653 0.000 0.653
0.500 0.381 0.881
0.500 0.619 0.119